First-principles (GGA-PBE) data for a relaxed structure of NaLa2GaFe, as listed in Alexandria.

Cell lengths 5.281, 5.281, 4.836 Å; angles 90.00, 90.00, 90.00 degrees
Fractional coordinates of all 5 atoms:
Na (0.500, 0.500, 0.500)
Fe (0.000, 0.000, 0.000)
Ga (0.000, 0.000, 0.500)
La (0.000, 0.500, 0.000)
La (0.500, 0.000, 0.000)

Values from the calculation:
* magnetic moment: 0.00 μB per atom
* formation energy: -0.09 eV/atom
* DFT total energy: -4.623 eV/atom
* N(E_F): 6.20 states/eV per cell

---

First-principles (GGA-PBE) data for a relaxed structure of La2Ga3FeNi12, as listed in Alexandria.

Cell lengths 9.104, 9.104, 9.104 Å; angles 39.54, 39.54, 39.54 degrees
Last column: magnetic moment on the atom in μB.
Fractional coordinates of all 18 atoms:
La (0.657, 0.657, 0.657)  -0.07
La (0.343, 0.343, 0.343)  -0.07
Ga (0.500, 0.000, 0.000)  -0.01
Ga (0.000, 0.500, 0.000)  -0.01
Ga (0.000, 0.000, 0.500)  -0.01
Fe (0.000, 0.000, 0.000)  2.63
Ni (0.419, 0.419, 0.811)  0.07
Ni (0.934, 0.934, 0.345)  0.29
Ni (0.345, 0.934, 0.934)  0.29
Ni (0.811, 0.419, 0.419)  0.07
Ni (0.934, 0.345, 0.934)  0.29
Ni (0.419, 0.811, 0.419)  0.07
Ni (0.581, 0.581, 0.189)  0.07
Ni (0.066, 0.066, 0.655)  0.29
Ni (0.655, 0.066, 0.066)  0.29
Ni (0.189, 0.581, 0.581)  0.07
Ni (0.066, 0.655, 0.066)  0.29
Ni (0.581, 0.189, 0.581)  0.07

Values from the calculation:
* magnetic moment: 0.24 μB per atom
* formation energy: 0.01 eV/atom
* DFT total energy: -5.367 eV/atom
* N(E_F): 15.59 states/eV per cell